[1]
Mg3As2 | GGA-PBEsol | relaxed

energy of formation = -58.5 kJ per mole of atoms

Cell: 4.263 4.263 6.691 Å, 90.00 90.00 120.00°
Sites, in units of the cell vectors:
Mg 0.000 0.000 0.000
Mg 0.333 0.667 0.358
Mg 0.667 0.333 0.642
As 0.333 0.667 0.771
As 0.667 0.333 0.229

=====

[2]
MgAs3 | GGA-PBEsol | relaxed

energy of formation = 10.1 kJ per mole of atoms

Cell: 3.310 3.310 6.763 Å, 90.00 90.00 90.00°
Sites, in units of the cell vectors:
Mg 0.000 0.000 0.000
As 0.000 0.000 0.500
As 0.500 0.500 0.253
As 0.500 0.500 0.747

=====

[3]
MgAs2 | GGA-PBEsol | relaxed

energy of formation = -17.0 kJ per mole of atoms

Cell: 3.918 3.918 4.075 Å, 90.00 90.00 90.00°
Sites, in units of the cell vectors:
Mg 0.000 0.000 0.000
As 0.000 0.500 0.500
As 0.500 0.000 0.500

=====

[4]
MgMnAs2 | GGA-PBEsol | relaxed

energy of formation = 1.2 kJ per mole of atoms

Cell: 4.444 4.444 4.444 Å, 113.74 113.74 101.24°
Sites, in units of the cell vectors:
Mg 0.000 0.000 0.000
Mn 0.500 0.500 0.000
As 0.250 0.750 0.500
As 0.750 0.250 0.500

=====

[5]
MgMnAs2 | GGA-PBEsol | relaxed

energy of formation = -2.7 kJ per mole of atoms

Cell: 5.451 5.451 5.451 Å, 139.53 139.53 58.56°
Sites, in units of the cell vectors:
Mg 0.000 0.000 0.000
Mn 0.750 0.250 0.500
As 0.250 0.750 0.500
As 0.500 0.500 0.000

=====

[6]
MgMnAs2 | GGA-PBEsol | relaxed

energy of formation = -9.5 kJ per mole of atoms

Cell: 3.207 4.116 5.417 Å, 90.00 90.00 90.00°
Sites, in units of the cell vectors:
Mg 0.000 0.000 0.000
Mn 0.500 0.500 0.463
As 0.000 0.000 0.493
As 0.500 0.500 0.962

=====

[7]
MgMnAs2 | GGA-PBEsol | relaxed

energy of formation = -15.3 kJ per mole of atoms

Cell: 6.724 6.724 6.724 Å, 153.56 149.77 40.59°
Sites, in units of the cell vectors:
Mg 0.000 0.000 0.000
Mn 0.238 0.738 0.500
As 0.384 0.384 0.000
As 0.668 0.168 0.500

=====

[8]
Mg2MnAsN | GGA-PBEsol | relaxed

raw formation energy = 1134.5 meV/atom

Cell: 4.992 4.992 4.308 Å, 90.00 90.00 90.00°
Sites, in units of the cell vectors:
Mg 0.000 0.500 0.000
Mg 0.500 0.000 0.000
Mn 0.000 0.000 0.000
As 0.000 0.000 0.500
N 0.500 0.500 0.500

=====

The calculation returns the following calculated volume values, one per record and in order: 105; 74; 63; 67; 68; 72; 68; 107 Å³ per cell.